Here is SrGe2Se2 after structural relaxation from the Alexandria database. Energies are from GGA-PBE.

abc: 5.4653 5.4653 5.8290
angles: 62.04 62.04 90.00
Fractional positions:
Sr: 0.0000 0.0000 0.0000
Ge: 0.3468 0.3468 0.3065
Ge: 0.6532 0.6532 0.6935
Se: 0.7500 0.2500 0.5000
Se: 0.2500 0.7500 0.5000

- calculated volume (Å³/cell) = 130
- density (Mg/m³) = 5.0
- magnetization (μB/atom) = 0.000
- energy above the lowest structure with this stoichiometry (kJ/mol of formula units) = 1
- DFT total energy (Ry per atom) = -0.305

=====

Here is NaSnOs2Pd after structural relaxation from the Alexandria database. Energies are from GGA-PBE.

abc: 4.9564 4.9681 4.9564
angles: 90.00 90.00 90.00
Last column: magnetic moment on the atom in μB.
Fractional positions:
Na: 0.5000 0.5000 0.5000  -0.01
Os: 0.0000 0.0000 0.5000  2.06
Os: 0.5000 0.0000 0.0000  1.59
Sn: 0.0000 0.5000 0.0000  -0.05
Pd: 0.0000 0.0000 0.0000  0.39

- calculated volume (Å³/cell) = 122
- density (Mg/m³) = 8.6
- formation energy (eV per atom) = 1.7121
- magnetization (μB/atom) = 0.840
- DFT total energy (Ry per atom) = -0.359

=====

Here is SmInBr4 after structural relaxation from the Alexandria database. Energies are from GGA-PBE.

abc: 7.1795 8.3884 9.3915
angles: 112.46 107.87 99.72
Fractional positions:
Sm: 0.1678 0.4178 0.3356
Sm: 0.8322 0.5822 0.6644
In: 0.4091 0.1591 0.8183
In: 0.5909 0.8409 0.1817
Br: 0.1956 0.8658 0.9187
Br: 0.7231 0.5529 0.9187
Br: 0.9466 0.6720 0.4193
Br: 0.0534 0.3280 0.5807
Br: 0.5273 0.7527 0.5807
Br: 0.2769 0.4471 0.0813
Br: 0.4727 0.2473 0.4193
Br: 0.8044 0.1342 0.0813

- calculated volume (Å³/cell) = 470
- density (Mg/m³) = 4.1
- magnetization (μB/atom) = 0.000
- DFT total energy (Ry per atom) = -0.281

=====

Here is YSN2F after structural relaxation from the Alexandria database. Energies are from GGA-PBE.

abc: 4.6480 4.6480 5.5047
angles: 90.00 90.00 90.00
Last column: magnetic moment on the atom in μB.
Fractional positions:
Y: 0.0000 0.0000 0.0000  0.04
S: 0.0000 0.0000 0.5000  0.84
N: 0.0000 0.5000 0.0000  1.32
N: 0.5000 0.0000 0.0000  1.32
F: 0.5000 0.5000 0.5000  0.48

- calculated volume (Å³/cell) = 119
- density (Mg/m³) = 2.3
- magnetization (μB/atom) = 1.200
- energy above the lowest structure with this stoichiometry (kJ/mol of formula units) = 493
- DFT total energy (Ry per atom) = -0.365

=====

Here is YScO3 after structural relaxation from the Alexandria database. Energies are from GGA-PBE.

abc: 6.2157 6.2157 12.2939
angles: 90.00 90.00 120.00
Fractional positions:
Y: 0.3333 0.6667 0.2361
Y: 0.0000 0.0000 0.2750
Y: 0.0000 0.0000 0.7750
Y: 0.3333 0.6667 0.7361
Y: 0.6667 0.3333 0.7361
Y: 0.6667 0.3333 0.2361
Sc: 0.0000 0.6663 0.5019
Sc: 0.0000 0.3337 0.0019
Sc: 0.3337 0.3337 0.5019
Sc: 0.6663 0.6663 0.0019
Sc: 0.3337 0.0000 0.0019
Sc: 0.6663 0.0000 0.5019
O: 0.0000 0.6916 0.6694
O: 0.0000 0.6414 0.3357
O: 0.0000 0.3586 0.8357
O: 0.0000 0.3084 0.1694
O: 0.3333 0.6667 0.0212
O: 0.0000 0.0000 0.4768
O: 0.0000 0.0000 0.9768
O: 0.3333 0.6667 0.5212
O: 0.3084 0.3084 0.6694
O: 0.3586 0.3586 0.3357
O: 0.3084 0.0000 0.1694
O: 0.6414 0.6414 0.8357
O: 0.6916 0.6916 0.1694
O: 0.3586 0.0000 0.8357
O: 0.6667 0.3333 0.5212
O: 0.6667 0.3333 0.0212
O: 0.6414 0.0000 0.3357
O: 0.6916 0.0000 0.6694

- calculated volume (Å³/cell) = 411
- density (Mg/m³) = 4.4
- magnetization (μB/atom) = 0.000
- DFT total energy (Ry per atom) = -0.666

=====

Here is Al4Cr after structural relaxation from the Alexandria database. Energies are from GGA-PBE.

abc: 6.8716 6.8716 6.8716
angles: 148.08 148.08 45.77
Last column: magnetic moment on the atom in μB.
Fractional positions:
Al: 0.7500 0.2500 0.5000  0.00
Al: 0.2500 0.7500 0.5000  0.00
Al: 0.5989 0.5989 0.0000  -0.03
Al: 0.4011 0.4011 0.0000  -0.03
Cr: 0.0000 0.0000 0.0000  3.53

- calculated volume (Å³/cell) = 90
- density (Mg/m³) = 2.9
- formation energy (eV per atom) = 0.3518
- magnetization (μB/atom) = 0.757
- energy above the lowest structure with this stoichiometry (kJ/mol of formula units) = 206
- DFT total energy (Ry per atom) = -0.336

=====

Listing DOS at the Fermi energy for the structures above in their given order: 1.0; 5.7; 0.0; 3.7; 0.0; 2.6 states/eV/cell.